[1]
## Ta8Mo (PBE)

Data for an optimized crystal structure of Ta8Mo.

Lattice parameters (Å, degrees): 9.907 9.907 3.288 90.00 90.00 90.00
Space group I4/mmm (No. 139)
Asymmetric unit:
Ta 0.000 0.334 0.000 [8 per cell]
Ta 0.163 0.163 0.500 [8 per cell]
Mo 0.000 0.000 0.000 [2 per cell]

Values from the calculation:
relative energy among the computed polymorphs	0	meV per atom
formation energy	-0.4	eV per formula unit


[2]
## Nb2HBr (PBE)

Data for an optimized crystal structure of Nb2HBr.

Lattice parameters (Å, degrees): 5.088 5.088 10.426 90.00 90.00 90.00
Space group I-42d (No. 122)
Asymmetric unit:
Nb 0.134 0.250 0.125 [8 per cell]
H 0.000 0.000 0.000 [4 per cell]
Br 0.000 0.000 0.500 [4 per cell]

Values from the calculation:
relative energy among the computed polymorphs	0	meV per atom


[3]
## AgRh (PBE)

Data for an optimized crystal structure of AgRh.

Lattice parameters (Å, degrees): 8.533 8.533 3.824 90.00 90.00 90.00
Space group I4/mmm (No. 139)
Asymmetric unit:
Ag 0.162 0.162 0.000 [8 per cell]
Rh 0.000 0.348 0.500 [8 per cell]

Values from the calculation:
formation energy	0.8	eV per formula unit


[4]
## Ac2NiSe (PBE)

Data for an optimized crystal structure of Ac2NiSe.

Lattice parameters (Å, degrees): 4.2655 4.2655 23.5250 90.00 90.00 120.00
Space group R3m (No. 160, hexagonal axes)
Asymmetric unit:
Ac 0.0000 0.0000 0.0000 [3 per cell]
Ac 0.0000 0.0000 0.1873 [3 per cell]
Ni 0.0000 0.0000 0.5947 [3 per cell]
Se 0.0000 0.0000 0.4257 [3 per cell]

Values from the calculation:
relative energy among the computed polymorphs	48	meV per atom
uncorrected formation energy	-0.957	eV per atom


[5]
## La2ZnOs (PBE)

Data for an optimized crystal structure of La2ZnOs.

Lattice parameters (Å, degrees): 4.2322 4.2322 22.7051 90.00 90.00 120.00
Space group R-3m (No. 166, hexagonal axes)
Asymmetric unit:
La 0.0000 0.0000 0.2328 [6 per cell]
Zn 0.0000 0.0000 0.0000 [3 per cell]
Os 0.0000 0.0000 0.5000 [3 per cell]

Values from the calculation:
formation energy	-0.1	eV per formula unit


[6]
## K3Th3TiSe8 (PBE)

Data for an optimized crystal structure of K3Th3TiSe8.

Lattice parameters (Å, degrees): 8.3215 8.3215 23.9053 90.00 90.00 120.00
Space group R-3m (No. 166, hexagonal axes)
Asymmetric unit:
K 0.0000 0.5000 0.0000 [9 per cell]
Th 0.0000 0.5000 0.5000 [9 per cell]
Ti 0.0000 0.0000 0.5000 [3 per cell]
Se 0.0000 0.0000 0.2403 [6 per cell]
Se 0.0171 0.5086 0.2329 [18 per cell]

Values from the calculation:
uncorrected formation energy	-1.494	eV per atom